1.
First-principles (GGA-PBE) data for an optimized crystal structure of TlOsPt2, as listed in the Alexandria database.

Cell: 6.490 6.490 6.490 Å, 90.00 90.00 90.00°
Space group F-43m (No. 216)
One atom of each set of equivalent atoms:
Tl1 0.000 0.000 0.000 [4 per cell]
Os1 0.250 0.250 0.750 [4 per cell]
Pt1 0.000 0.000 0.500 [4 per cell]
Pt2 0.250 0.250 0.250 [4 per cell]

Results
- E above lowest polymorph: 1.07 eV per formula unit
- Size of the total moment: 1.7 μB/f.u.
- E_tot: -0.214 Ha/atom
- Formation energy: 0.58 eV/atom



2.
First-principles (GGA-PBE) data for an optimized crystal structure of Tl2OsPt, as listed in the Alexandria database.

Cell: 3.1430 3.1430 26.8037 Å, 90.00 90.00 120.00°
Space group R-3m (No. 166, hexagonal axes)
One atom of each set of equivalent atoms:
Tl1 0.0000 0.0000 0.2495 [6 per cell]
Os1 0.0000 0.0000 0.5000 [3 per cell]
Pt1 0.0000 0.0000 0.0000 [3 per cell]

Results
- E above lowest polymorph: 0.69 eV per formula unit
- Size of the total moment: 0.0 μB/f.u.
- E_tot: -0.176 Ha/atom
- Formation energy: 0.70 eV/atom



3.
First-principles (GGA-PBE) data for an optimized crystal structure of Tl2OsPt, as listed in the Alexandria database.

Cell: 6.155 9.328 3.143 Å, 90.00 120.06 90.00°
Space group C2/m (No. 12)
One atom of each set of equivalent atoms:
Tl1 0.250 0.250 0.000 [4 per cell]
Os1 0.000 0.000 0.500 [2 per cell]
Pt1 0.000 0.500 0.500 [2 per cell]

Results
- E above lowest polymorph: 0.94 eV per formula unit
- Size of the total moment: 0.0 μB/f.u.
- E_tot: -0.174 Ha/atom
- Formation energy: 0.76 eV/atom



4.
First-principles (GGA-PBE) data for an optimized crystal structure of Tl2OsPt, as listed in the Alexandria database.

Cell: 2.985 4.621 12.159 Å, 90.00 90.00 90.00°
Space group Imm2 (No. 44)
One atom of each set of equivalent atoms:
Tl1 0.000 0.000 0.000 [2 per cell]
Tl2 0.000 0.500 0.215 [2 per cell]
Os1 0.000 0.500 0.712 [2 per cell]
Pt1 0.000 0.000 0.396 [2 per cell]

Results
- E above lowest polymorph: 0.23 eV per formula unit
- Size of the total moment: 0.0 μB/f.u.
- E_tot: -0.181 Ha/atom
- Formation energy: 0.59 eV/atom



5.
First-principles (GGA-PBE) data for an optimized crystal structure of TlOsPt2, as listed in the Alexandria database.

Cell: 9.185 2.891 5.258 Å, 90.00 100.47 90.00°
Space group Cm (No. 8)
One atom of each set of equivalent atoms:
Tl1 0.000 0.000 0.000 [2 per cell]
Os1 0.248 0.500 0.302 [2 per cell]
Pt1 0.247 0.000 0.741 [2 per cell]
Pt2 0.491 0.000 0.488 [2 per cell]

Results
- E above lowest polymorph: 0.28 eV per formula unit
- Size of the total moment: 0.0 μB/f.u.
- E_tot: -0.222 Ha/atom
- Formation energy: 0.39 eV/atom



6.
First-principles (GGA-PBE) data for an optimized crystal structure of Tm2OsPt, as listed in the Alexandria database.

Cell: 3.434 3.434 6.641 Å, 90.00 90.00 90.00°
Space group P4/mmm (No. 123)
One atom of each set of equivalent atoms:
Tm1 0.000 0.000 0.244 [2 per cell]
Os1 0.500 0.500 0.000 [1 per cell]
Pt1 0.500 0.500 0.500 [1 per cell]

Results
- Size of the total moment: 0.0 μB/f.u.
- E_tot: -0.270 Ha/atom
- Formation energy: -0.80 eV/atom